PrVSO2 | PBE+U | optimized geometry

It has space group P4mm (No. 99), with a = 3.952 Å, b = 3.952 Å, c = 5.449 Å, α = 90.00°, β = 90.00° and γ = 90.00°. The asymmetric unit holds Pr at (0.000, 0.000, 0.000), V at (0.500, 0.500, 0.339), S at (0.500, 0.500, 0.789) and O at (0.000, 0.500, 0.266).

The energy comes out at -7.532 eV/atom. Its magnetization is 2.00 μB/cell.